Density functional theory data (GGA-PBE) for an optimized crystal structure of MgGa2Ir3.

Lattice parameters (Å, degrees): 3.074 3.074 9.192 90.00 90.00 90.00
Fractional positions:
Mg (0.000, 0.000, 0.000)
Ga (0.000, 0.000, 0.331)
Ga (0.000, 0.000, 0.669)
Ir (0.500, 0.500, 0.178)
Ir (0.500, 0.500, 0.500)
Ir (0.500, 0.500, 0.822)

Summary:
E_tot   -0.4532 Ry per atom
DOS(E_F)   0.4 states/eV/cell
Calculated volume   86.88 Å³ per cell
Formation energy   -44 kJ per mole of atoms